First-principles (PBE+U) data for La2CrHgF after structural relaxation, as listed in the Alexandria database.

Energy (eV/atom): -3.8355
Volume (Å³/cell): 174.6
Total moment (μB per atom): 1.220
Space-group type: P4/mmm

Unit cell a=6.0211 b=6.0211 c=4.8148 alpha=90.00 beta=90.00 gamma=90.00
Closest atoms and distances in Å follow each position.
Sites, in units of the cell vectors:
1 La 0.0000 0.5000 0.0000  2 Hg 3.01
2 La 0.5000 0.0000 0.0000  2 Hg 3.01
3 Cr 0.0000 0.0000 0.5000  8 La 3.85, 4 F 4.26
4 Hg 0.5000 0.5000 0.0000  2 F 2.41
5 F 0.5000 0.5000 0.5000  2 Hg 2.41